1.
Computed, not measured: a geometry-optimized ErSc4Tl structure at the PBE level of DFT.

Summary:
Crystal system: monoclinic
Final energy (eV per atom): -5.42

a b c (Å): 5.700 5.700 11.041
angles (deg): 103.85 103.85 59.97
Fractional positions:
Er 0.000 0.500 0.000
Er 0.500 0.000 0.500
Sc 0.167 0.670 0.496
Sc 0.251 0.424 0.749
Sc 0.330 0.833 0.004
Sc 0.424 0.251 0.249
Sc 0.576 0.749 0.751
Sc 0.670 0.167 0.996
Sc 0.749 0.576 0.251
Sc 0.833 0.330 0.504
Tl 0.078 0.922 0.250
Tl 0.922 0.078 0.750



2.
Computed, not measured: a geometry-optimized ErScTl4 structure at the PBE level of DFT.

Summary:
Crystal system: orthorhombic
Final energy (eV per atom): -3.36

a b c (Å): 4.877 4.877 7.561
angles (deg): 90.00 90.00 90.12
Fractional positions:
Er 0.000 0.000 0.000
Sc 0.500 0.500 0.500
Tl 0.000 0.500 0.265
Tl 0.000 0.500 0.735
Tl 0.500 0.000 0.265
Tl 0.500 0.000 0.735



3.
Computed, not measured: a geometry-optimized Er12Sc7Tl structure at the PBE level of DFT.

Summary:
Crystal system: trigonal
Final energy (eV per atom): -5.01

a b c (Å): 8.462 8.462 8.462
angles (deg): 101.66 101.66 101.66
Fractional positions:
Er 0.003 0.261 0.739
Er 0.156 0.421 0.168
Er 0.168 0.156 0.421
Er 0.261 0.739 0.003
Er 0.261 0.997 0.739
Er 0.421 0.168 0.156
Er 0.579 0.832 0.844
Er 0.739 0.003 0.261
Er 0.739 0.261 0.997
Er 0.832 0.844 0.579
Er 0.844 0.579 0.832
Er 0.997 0.739 0.261
Sc 0.000 0.000 0.000
Sc 0.180 0.591 0.593
Sc 0.407 0.820 0.409
Sc 0.409 0.407 0.820
Sc 0.591 0.593 0.180
Sc 0.593 0.180 0.591
Sc 0.820 0.409 0.407
Tl 0.500 0.500 0.500



4.
Computed, not measured: a geometry-optimized Er3Sc4Tl2 structure at the PBE level of DFT.

Summary:
Crystal system: monoclinic
Final energy (eV per atom): -4.97

a b c (Å): 7.525 7.525 7.388
angles (deg): 107.63 107.63 36.28
Fractional positions:
Er 0.000 0.000 0.000
Er 0.114 0.114 0.667
Er 0.886 0.886 0.333
Sc 0.220 0.220 0.329
Sc 0.440 0.440 0.664
Sc 0.560 0.560 0.336
Sc 0.780 0.780 0.671
Tl 0.341 0.341 0.997
Tl 0.659 0.659 0.003



5.
Computed, not measured: a geometry-optimized ErSc5Tl6 structure at the PBE level of DFT.

Summary:
Crystal system: monoclinic
Final energy (eV per atom): -4.46

a b c (Å): 8.902 8.902 5.135
angles (deg): 106.71 106.71 120.17
Fractional positions:
Er 0.000 0.000 0.000
Sc 0.165 0.835 0.500
Sc 0.333 0.667 0.000
Sc 0.500 0.500 0.500
Sc 0.667 0.333 0.000
Sc 0.835 0.165 0.500
Tl 0.085 0.423 0.254
Tl 0.258 0.258 0.758
Tl 0.423 0.085 0.254
Tl 0.577 0.915 0.746
Tl 0.742 0.742 0.242
Tl 0.915 0.577 0.746



6.
Computed, not measured: a geometry-optimized ErSc2Tl structure at the PBE level of DFT.

Summary:
Crystal system: cubic
Final energy (eV per atom): -4.92

a b c (Å): 5.189 5.189 5.189
angles (deg): 60.00 60.00 60.00
Fractional positions:
Er 0.000 0.000 0.000
Sc 0.250 0.250 0.250
Sc 0.750 0.750 0.750
Tl 0.500 0.500 0.500



7.
Computed, not measured: a geometry-optimized ErSc2Tl structure at the PBE level of DFT.

Summary:
Crystal system: tetragonal
Final energy (eV per atom): -5.08

a b c (Å): 4.625 4.625 4.631
angles (deg): 90.00 90.00 90.00
Fractional positions:
Er 0.000 0.000 0.000
Sc 0.000 0.500 0.500
Sc 0.500 0.000 0.500
Tl 0.500 0.500 0.000



8.
Computed, not measured: a geometry-optimized ErSc5Tl3 structure at the PBE level of DFT.

Summary:
Crystal system: hexagonal
Final energy (eV per atom): -5.08

a b c (Å): 8.838 8.838 6.393
angles (deg): 90.00 90.00 120.00
Fractional positions:
Er 0.000 0.000 0.000
Er 0.000 0.000 0.500
Sc 0.000 0.338 0.250
Sc 0.000 0.662 0.750
Sc 0.333 0.667 0.000
Sc 0.333 0.667 0.500
Sc 0.338 0.000 0.250
Sc 0.338 0.338 0.750
Sc 0.662 0.000 0.750
Sc 0.662 0.662 0.250
Sc 0.667 0.333 0.000
Sc 0.667 0.333 0.500
Tl 0.000 0.334 0.750
Tl 0.000 0.666 0.250
Tl 0.334 0.000 0.750
Tl 0.334 0.334 0.250
Tl 0.666 0.000 0.250
Tl 0.666 0.666 0.750



The total magnetic moment results, record by record, are as follows: 0.030; 0.000; 0.000; 0.000; 0.000; 0.430; 0.375; 0.189 μB/atom.